The following is a meta-GGA SCAN calculation of CrP3O9 at its PBEsol-relaxed geometry, from Alexandria via LeMat-Bulk. Values from VASP.

Summary:
Space group: P2_12_12_1, No. 19
Uncorrected energy: -548.45 eV per cell
Energy above the lowest structure with this stoichiometry: 0.67 kcal/mol of atoms
Magnetic moment: 3.0 μB/f.u.
Raw formation energy: -31.45 eV per formula unit

Cell and atoms, written as Quantum ESPRESSO input:
```
&SYSTEM
  ibrav = 0, nat = 52, ntyp = 3
/
ATOMIC_SPECIES
P 30.97 P.upf
Cr 52.00 Cr.upf
O 16.00 O.upf
ATOMIC_POSITIONS angstrom
P 4.017 -1.904 5.061
Cr 1.003 -0.774 1.277
O 6.650 -4.525 6.836
P 5.600 -3.263 2.856
O 5.956 -4.416 3.735
P 1.702 -5.524 3.574
O 4.300 -0.446 5.275
P 1.352 -1.006 4.341
O 0.874 -7.476 5.792
Cr 7.057 -6.034 3.623
O 2.452 -4.018 8.809
O 4.476 -2.844 6.134
O 5.868 -6.727 2.279
O -1.683 -3.660 6.282
O 4.238 -8.242 3.522
Cr 2.411 -6.408 6.450
O 3.284 -1.265 9.759
P 8.019 -5.031 6.487
O 6.458 1.515 5.284
O 0.276 -5.392 4.034
P 4.805 -8.035 5.030
O 3.878 -5.376 7.146
O 8.266 -5.368 5.049
P 1.285 -3.985 1.312
O 2.865 -0.291 1.768
O 1.495 -2.367 7.353
O 6.847 -2.225 2.777
O 2.446 -2.102 4.797
O 3.668 -7.837 5.977
O 2.746 -5.696 4.633
O 0.663 -1.476 3.097
O 5.309 -1.125 8.213
Cr 6.009 -2.763 7.392
O 4.526 -2.381 3.631
O 9.723 -3.168 2.668
O 4.238 -6.183 -0.076
O 8.441 -6.236 7.436
O 8.094 -5.071 2.238
P 3.876 -4.711 8.495
O 1.293 -4.825 6.707
O 4.978 -3.736 8.774
O 5.071 -3.474 1.459
O 1.548 -2.601 0.818
P 4.790 -0.697 9.546
P 9.551 -4.739 2.334
O 5.957 -7.063 4.972
P 3.263 -5.196 -0.648
O 2.019 -4.995 0.323
O 2.112 -4.247 2.685
O 1.860 -6.690 2.469
O 7.136 -1.783 6.029
P 1.182 -3.848 7.842
CELL_PARAMETERS angstrom
-2.946 -3.600 6.879
3.930 -7.105 -2.036
7.256 2.716 4.528
```